Below is crystalline Ce2Al3CdAu4 at its relaxed geometry, with properties calculated at the GGA-PBE level.

Geometry as extended XYZ:
```
10
Lattice="4.457 0.000 0.000 0.000 4.457 0.000 0.000 0.000 10.767" Properties=species:S:1:pos:R:3 pbc="T T T"
Ce 0.000 2.228 2.619
Ce 2.228 0.000 8.148
Al 0.000 2.228 9.437
Al 2.228 0.000 1.329
Al 2.228 2.228 5.383
Cd 0.000 0.000 5.383
Au 0.000 0.000 0.000
Au 0.000 2.228 6.964
Au 2.228 0.000 3.802
Au 2.228 2.228 0.000
```

The formation energy comes out at -0.583 eV per atom. For the density of states at the Fermi level, the calculation gives 15.638 states/eV per cell. As for the space-group type: P-4m2 (115). For the magnetization, the calculation gives 0.1873 μB per atom. The value obtained for the total energy is -4.295 eV/atom.